<1>
The following is a DFT calculation (PBE) of crystalline PmNiH2 at its relaxed geometry.

Lattice parameters (Å, degrees): 3.5327 3.5478 3.6309 90.00 90.00 90.00
Last column: nearest neighbours and their distance in Å.
Space group Pmmm (No. 47)
Inequivalent atoms, fractional coordinates:
Pm 0.0000 0.0000 0.0000  8 H 2.50-2.54
Ni 0.5000 0.5000 0.5000  4 H 1.77-1.82
H 0.0000 0.5000 0.5000  2 Ni 1.77
H 0.5000 0.5000 0.0000  2 Ni 1.82

Values from the calculation:
Magnetization ... 0.000 μB per atom
Calculated volume ... 46 Å³ per cell

***

<2>
The following is a DFT calculation (PBE) of crystalline PmNiH2 at its relaxed geometry.

Lattice parameters (Å, degrees): 4.0409 4.0409 11.2999 90.00 90.00 120.00
Last column: nearest neighbours and their distance in Å.
Space group R-3m (No. 166, hexagonal axes)
Inequivalent atoms, fractional coordinates:
Pm 0.0000 0.0000 0.0000  6 H 2.36
Ni 0.0000 0.0000 0.5000  2 H 1.55
H 0.0000 0.0000 0.3628  1 Ni 1.55

Values from the calculation:
Magnetization ... 0.000 μB per atom
Calculated volume ... 160 Å³ per cell

***

Most stable to least stable, the ends of the list are <1> and <2>.

***

<1>
The following is a DFT calculation (PBE) of crystalline PmNiSbH at its relaxed geometry.

Lattice parameters (Å, degrees): 4.3261 4.3261 4.2528 90.00 90.00 120.00
Last column: nearest neighbours and their distance in Å.
Space group P3m1 (No. 156)
Inequivalent atoms, fractional coordinates:
Pm 0.0000 0.0000 0.0000  3 H 2.51
Ni 0.6667 0.3333 0.5792  1 H 1.58
Sb 0.3333 0.6667 0.4873  3 Ni 2.53
H 0.6667 0.3333 0.9506  1 Ni 1.58

Values from the calculation:
Magnetization ... 0.000 μB per atom
Calculated volume ... 69 Å³ per cell

***

<2>
The following is a DFT calculation (PBE) of crystalline PmNiSbH at its relaxed geometry.

Lattice parameters (Å, degrees): 6.4692 6.4692 6.4692 90.00 90.00 90.00
Last column: nearest neighbours and their distance in Å.
Space group F-43m (No. 216)
Inequivalent atoms, fractional coordinates:
Pm 0.0000 0.0000 0.0000  4 H 2.80, 4 Ni 2.80
Ni 0.2500 0.2500 0.7500  4 Sb 2.80, 4 Pm 2.80
Sb 0.0000 0.0000 0.5000  4 H 2.80, 4 Ni 2.80
H 0.2500 0.2500 0.2500  4 Sb 2.80, 4 Pm 2.80

Values from the calculation:
Magnetization ... 0.000 μB per atom
Calculated volume ... 271 Å³ per cell

***

Most stable to least stable, the ends of the list are <1> and <2>.

***

<1>
The following is a DFT calculation (PBE) of crystalline Pr2NiH at its relaxed geometry.

Lattice parameters (Å, degrees): 3.3541 3.3541 7.0732 90.00 90.00 90.00
Last column: nearest neighbours and their distance in Å.
Space group P4/mmm (No. 123)
Inequivalent atoms, fractional coordinates:
Pr 0.0000 0.0000 0.2460  4 H 2.94, 4 Ni 2.98
Ni 0.5000 0.5000 0.5000  8 Pr 2.98
H 0.5000 0.5000 0.0000  8 Pr 2.94

Values from the calculation:
Magnetization ... 0.000 μB per atom
Calculated volume ... 80 Å³ per cell

***

<2>
The following is a DFT calculation (PBE) of crystalline Pr2NiH at its relaxed geometry.

Lattice parameters (Å, degrees): 3.8116 3.8116 20.7332 90.00 90.00 120.00
Last column: nearest neighbours and their distance in Å.
Space group R3m (No. 160, hexagonal axes)
Inequivalent atoms, fractional coordinates:
Pr 0.0000 0.0000 0.0000  3 H 2.81, 3 Ni 2.81
Pr 0.0000 0.0000 0.1657  3 H 2.78, 3 Ni 2.80
Ni 0.0000 0.0000 0.5826  6 Pr 2.80-2.81
H 0.0000 0.0000 0.4173  6 Pr 2.78-2.81

Values from the calculation:
Magnetization ... 0.000 μB per atom
Calculated volume ... 261 Å³ per cell

***

<3>
The following is a DFT calculation (PBE) of crystalline Pr2NiH at its relaxed geometry.

Lattice parameters (Å, degrees): 4.0004 4.0004 18.7225 90.00 90.00 120.00
Last column: nearest neighbours and their distance in Å.
Space group R-3m (No. 166, hexagonal axes)
Inequivalent atoms, fractional coordinates:
Pr 0.0000 0.0000 0.2458  3 H 2.74, 3 Ni 2.83
Ni 0.0000 0.0000 0.0000  6 Pr 2.83
H 0.0000 0.0000 0.5000  6 Pr 2.74

Values from the calculation:
Magnetization ... 0.000 μB per atom
Calculated volume ... 259 Å³ per cell

***

Most stable to least stable, the ends of the list are <3> and <1>.

***

<1>
The following is a DFT calculation (PBE) of crystalline Pr4Ni2H at its relaxed geometry.

Lattice parameters (Å, degrees): 13.9435 3.9873 6.0664 90.00 100.37 90.00
Last column: nearest neighbours and their distance in Å.
Space group C2/m (No. 12)
Inequivalent atoms, fractional coordinates:
Pr 0.0820 0.0000 0.2765  2 H 2.72, 3 Ni 2.89-3.03
Pr 0.1543 0.5000 0.8104  1 H 2.62, 2 Ni 2.87
Ni 0.2339 0.5000 0.3703  2 Ni 2.53
H 0.0000 0.5000 0.0000  6 Pr 2.62-2.72

Values from the calculation:
Magnetization ... 0.000 μB per atom
Calculated volume ... 332 Å³ per cell

***

<2>
The following is a DFT calculation (PBE) of crystalline Pr4Ni2H at its relaxed geometry.

Lattice parameters (Å, degrees): 4.8798 4.8798 14.1430 90.00 90.00 90.00
Last column: nearest neighbours and their distance in Å.
Space group I4/mmm (No. 139)
Inequivalent atoms, fractional coordinates:
Pr 0.0000 0.0000 0.1981  1 Ni 2.67, 1 H 2.80
Pr 0.0000 0.5000 0.0000  2 H 2.44
Ni 0.0000 0.0000 0.3869  5 Pr 2.67-2.92
H 0.0000 0.0000 0.0000  4 Pr 2.44

Values from the calculation:
Magnetization ... 0.000 μB per atom
Calculated volume ... 337 Å³ per cell

***

Most stable to least stable, the ends of the list are <1> and <2>.

***

<1>
The following is a DFT calculation (PBE) of crystalline PrNi2H8 at its relaxed geometry.

Lattice parameters (Å, degrees): 4.6350 7.4793 4.5615 90.00 90.00 90.00
Last column: nearest neighbours and their distance in Å.
Space group Cmmm (No. 65)
Inequivalent atoms, fractional coordinates:
Pr 0.0000 0.0000 0.0000  18 H 2.41-2.67
Ni 0.0000 0.3289 0.5000  6 H 1.59-1.65
H 0.0000 0.3226 0.0000  2 H 1.81
H 0.0000 0.5000 0.2708  2 Ni 1.65, 2 H 1.81
H 0.1614 0.1373 0.5000  1 H 1.50, 2 Ni 1.59-1.62

Values from the calculation:
Magnetization ... 0.000 μB per atom
Calculated volume ... 158 Å³ per cell

***

<2>
The following is a DFT calculation (PBE) of crystalline PrNi2H8 at its relaxed geometry.

Lattice parameters (Å, degrees): 4.1489 4.1489 10.1761 90.00 90.00 90.00
Last column: nearest neighbours and their distance in Å.
Space group I4/mmm (No. 139)
Inequivalent atoms, fractional coordinates:
Pr 0.0000 0.0000 0.0000  8 H 2.36
Ni 0.0000 0.5000 0.2500  8 H 1.71
H 0.2196 0.2196 0.3338  2 Ni 1.71, 3 H 1.74-1.82

Values from the calculation:
Magnetization ... 0.000 μB per atom
Calculated volume ... 175 Å³ per cell

***

Most stable to least stable, the ends of the list are <1> and <2>.

***

<1>
The following is a DFT calculation (PBE) of crystalline PrNiSnH at its relaxed geometry.

Lattice parameters (Å, degrees): 4.3710 4.3710 4.4078 90.00 90.00 120.00
Last column: nearest neighbours and their distance in Å.
Space group P3m1 (No. 156)
Inequivalent atoms, fractional coordinates:
Pr 0.0000 0.0000 0.0000  3 H 2.54
Ni 0.6667 0.3333 0.5727  1 H 1.58
Sn 0.3333 0.6667 0.4904  3 Ni 2.55
H 0.6667 0.3333 0.9306  1 Ni 1.58

Values from the calculation:
Magnetization ... 0.000 μB per atom
Calculated volume ... 73 Å³ per cell

***

<2>
The following is a DFT calculation (PBE) of crystalline PrNiSnH at its relaxed geometry.

Lattice parameters (Å, degrees): 7.2871 4.4051 8.5918 90.00 90.00 90.00
Last column: nearest neighbours and their distance in Å.
Space group Pnma (No. 62)
Inequivalent atoms, fractional coordinates:
Pr 0.0131 0.2500 0.1880  3 H 2.33-2.45
Ni 0.2192 0.7500 0.4013  1 H 1.60
Sn 0.1553 0.2500 0.5681  3 Ni 2.67-2.74, 1 H 2.97
H 0.0620 0.2500 0.9194  1 Ni 1.60

Values from the calculation:
Magnetization ... 0.000 μB per atom
Calculated volume ... 276 Å³ per cell

***

Most stable to least stable, the ends of the list are <2> and <1>.

***

<1>
The following is a DFT calculation (PBE) of crystalline NiHPt3 at its relaxed geometry.

Lattice parameters (Å, degrees): 3.9647 3.9647 3.9647 90.00 90.00 90.00
Last column: nearest neighbours and their distance in Å.
Space group Pm-3m (No. 221)
Inequivalent atoms, fractional coordinates:
Ni 0.0000 0.0000 0.0000  12 Pt 2.80
H 0.5000 0.5000 0.5000  6 Pt 1.98
Pt 0.0000 0.5000 0.5000  2 H 1.98

Values from the calculation:
Magnetization ... 0.220 μB per atom
Calculated volume ... 62 Å³ per cell

***

<2>
The following is a DFT calculation (PBE) of crystalline NiHPt3 at its relaxed geometry.

Lattice parameters (Å, degrees): 4.5735 4.5735 4.5735 90.00 90.00 90.00
Last column: nearest neighbours and their distance in Å.
Space group Pm-3m (No. 221)
Inequivalent atoms, fractional coordinates:
Ni 0.0000 0.0000 0.0000  6 Pt 2.29
H 0.5000 0.5000 0.5000  12 Pt 3.23
Pt 0.0000 0.0000 0.5000  2 Ni 2.29

Values from the calculation:
Magnetization ... 0.326 μB per atom
Calculated volume ... 96 Å³ per cell

***

<3>
The following is a DFT calculation (PBE) of crystalline NiHPt3 at its relaxed geometry.

Lattice parameters (Å, degrees): 3.9314 5.6003 5.6140 90.36 90.03 90.02
Last column: nearest neighbours and their distance in Å.
Space group P1 (No. 1)
Inequivalent atoms, fractional coordinates:
Ni 0.0000 0.0000 0.0000  1 H 2.21
Ni 0.0004 0.4901 0.4888  1 H 1.85
H 0.4880 0.4446 0.9907  4 Pt 1.82-2.03
H 0.9847 0.7472 0.6967  1 Ni 1.85, 3 Pt 1.85-2.04
Pt 0.0006 0.0005 0.4874  1 H 1.85
Pt 0.4992 0.7484 0.7420  2 H 1.93-2.04
Pt 0.5004 0.2430 0.2503  1 H 1.85
Pt 0.5000 0.7511 0.2455  1 H 2.23
Pt 0.5008 0.2409 0.7379  1 H 1.82
Pt 0.9991 0.4974 0.0004  2 H 1.95-2.03

Values from the calculation:
Magnetization ... 0.238 μB per atom
Calculated volume ... 124 Å³ per cell

***

Most stable to least stable, the ends of the list are <3> and <2>.

***

<1>
The following is a DFT calculation (PBE) of crystalline Ni2HPtRh at its relaxed geometry.

Lattice parameters (Å, degrees): 3.8407 3.8407 3.7035 90.00 90.00 90.00
Last column: nearest neighbours and their distance in Å.
Space group P4/mmm (No. 123)
Inequivalent atoms, fractional coordinates:
Ni 0.0000 0.5000 0.0000  2 H 1.92
H 0.0000 0.0000 0.0000  2 Rh 1.85, 4 Ni 1.92
Pt 0.5000 0.5000 0.5000  8 Ni 2.67, 4 Rh 2.72
Rh 0.0000 0.0000 0.5000  2 H 1.85

Values from the calculation:
Magnetization ... 0.381 μB per atom
Calculated volume ... 55 Å³ per cell

***

<2>
The following is a DFT calculation (PBE) of crystalline Ni2HPtRh at its relaxed geometry.

Lattice parameters (Å, degrees): 3.8315 3.8315 3.7410 90.00 90.00 90.00
Last column: nearest neighbours and their distance in Å.
Space group P4/mmm (No. 123)
Inequivalent atoms, fractional coordinates:
Ni 0.0000 0.5000 0.0000  2 H 1.92
H 0.0000 0.0000 0.0000  2 Pt 1.87, 4 Ni 1.92
Pt 0.0000 0.0000 0.5000  2 H 1.87
Rh 0.5000 0.5000 0.5000  8 Ni 2.68, 4 Pt 2.71

Values from the calculation:
Magnetization ... 0.296 μB per atom
Calculated volume ... 55 Å³ per cell

***

Most stable to least stable, the ends of the list are <1> and <2>.